1.
{"formula": "MgSb2Pt", "functional": "GGA-PBEsol", "state": "relaxed", "lattice": [[3.277, 0.000, 0.000], [0.000, 3.277, 0.000], [0.000, 0.000, 7.968]], "species": ["Sb", "Pt", "Sb", "Mg"], "fractional_positions": [[0.000, 0.000, 0.935], [0.500, 0.500, 0.740], [0.500, 0.500, 0.284], [0.000, 0.000, 0.541]], "spacegroup": "No. 99", "e_form_raw_ev_per_atom": -0.3044}

***

2.
{"formula": "SrRu3Cl", "functional": "GGA-PBEsol", "state": "relaxed", "lattice": [[4.426, 0.000, 0.000], [0.000, 4.426, 0.000], [0.000, 0.000, 4.426]], "species": ["Ru", "Ru", "Ru", "Sr", "Cl"], "fractional_positions": [[0.000, 0.500, 0.000], [0.500, 0.000, 0.000], [0.000, 0.000, 0.500], [0.500, 0.500, 0.500], [0.000, 0.000, 0.000]], "spacegroup": "No. 221", "e_form_raw_ev_per_atom": 0.8334}

***

3.
{"formula": "Al2GaReC", "functional": "GGA-PBEsol", "state": "relaxed", "lattice": [[3.973, 0.000, 0.000], [0.000, 4.833, 0.000], [0.000, 0.000, 4.833]], "species": ["Al", "Ga", "Al", "Re", "C"], "fractional_positions": [[0.000, 0.500, 0.000], [0.500, 0.500, 0.500], [0.000, 0.000, 0.500], [0.000, 0.000, 0.000], [0.500, 0.000, 0.000]], "delta_e_f_mev_per_atom": 734, "spacegroup": "No. 123"}